DyTmPt4 after structural relaxation, computed with PBE-GGA.

Structure (POSCAR):
```
DyTmPt4
1.0
-1.528 -4.512 1.593
1.583 -1.087 4.642
-4.629 2.318 2.121
Dy Tm Pt
1 1 4
direct
0.501 0.498 0.998
0.002 0.997 0.498
0.501 0.997 0.249
0.501 0.997 0.747
0.001 0.497 0.747
0.001 0.497 0.250
```

Output
Total moment, μB per formula unit: 0.0
DOS(E_F), states/eV per cell: 4.39
Formation energy from the elements, meV per atom: -909
E above lowest polymorph, kJ per mole of atoms: 21.0


PrCu6O8 after structural relaxation, computed with PBE-GGA.

Structure (POSCAR):
```
PrCu6O8
1.0
5.573 0.086 0.089
-0.088 5.573 0.089
-0.088 -0.091 5.573
Pr Cu O
1 6 8
direct
0.000 0.000 0.000
0.732 0.500 0.000
0.500 0.000 0.732
0.000 0.732 0.500
0.268 0.500 0.000
0.500 0.000 0.268
0.000 0.268 0.500
0.750 0.750 0.750
0.250 0.250 0.250
0.750 0.750 0.250
0.750 0.250 0.750
0.250 0.750 0.750
0.250 0.250 0.750
0.250 0.750 0.250
0.750 0.250 0.250
```

Output
Total moment, μB per formula unit: 0.0
DOS(E_F), states/eV per cell: 8.05
E above lowest polymorph, kJ per mole of atoms: 7.6


Sm2MgRuO6 after structural relaxation, computed with PBE-GGA.

Structure (POSCAR):
```
Sm2MgRuO6
1.0
-0.686 2.118 4.950
3.882 -3.673 2.110
5.665 5.142 -1.470
Sm Mg Ru O
4 2 2 12
direct
0.019 0.931 0.251
0.519 0.569 0.751
0.981 0.069 0.749
0.481 0.431 0.249
0.500 0.000 0.000
0.000 0.500 0.500
0.500 0.000 0.500
0.000 0.500 0.000
0.303 0.696 0.053
0.803 0.804 0.553
0.697 0.304 0.947
0.197 0.196 0.447
0.310 0.703 0.444
0.810 0.797 0.944
0.690 0.297 0.556
0.190 0.203 0.056
0.894 0.534 0.247
0.394 0.966 0.747
0.106 0.466 0.753
0.606 0.034 0.253
```

Output
Total moment, μB per formula unit: 2.0
Final energy, eV/cell: -151.323
DOS(E_F), states/eV per cell: 9.19


Ca2Hg after structural relaxation, computed with PBE-GGA.

Structure (POSCAR):
```
Ca2Hg
1.0
-0.606 6.389 -2.683
-3.673 5.905 0.140
4.364 2.590 5.186
Ca Hg
4 2
direct
0.929 0.929 0.927
0.349 0.349 0.427
0.658 0.658 0.730
0.620 0.620 0.230
0.025 0.025 0.509
0.253 0.253 0.009
```

Output
Total moment, μB per formula unit: 0.0
DOS(E_F), states/eV per cell: 5.03
Formation energy from the elements, meV per atom: -362


ZrZn3Cr after structural relaxation, computed with PBE-GGA.

Structure (POSCAR):
```
ZrZn3Cr
1.0
-2.024 -1.303 -3.826
3.455 -2.778 -0.882
-2.097 -3.319 2.240
Cr Zn Zr
1 3 1
direct
0.000 0.000 0.000
0.000 0.500 0.000
0.000 0.000 0.500
0.500 0.000 0.000
0.500 0.500 0.500
```

Output
Total moment, μB per formula unit: 0.0
DOS(E_F), states/eV per cell: 1.58
Formation energy from the elements, meV per atom: 636


CoPdPt3 after structural relaxation, computed with PBE-GGA.

Structure (POSCAR):
```
CoPdPt3
1.0
-1.292 0.947 -2.237
-1.026 -9.677 -1.811
-4.904 -0.770 2.507
Co Pd Pt
2 2 6
direct
0.599 0.197 0.453
0.401 0.803 0.547
0.803 0.606 0.844
0.197 0.394 0.156
0.002 0.003 0.260
0.998 0.997 0.740
0.400 0.801 0.055
0.600 0.199 0.945
0.198 0.395 0.643
0.802 0.605 0.357
```

Output
Total moment, μB per formula unit: 3.3
DOS(E_F), states/eV per cell: 12.08
Formation energy from the elements, meV per atom: -61
E above lowest polymorph, kJ per mole of atoms: 0.0


PmHo2HfAs4 after structural relaxation, computed with PBE-GGA.

Structure (POSCAR):
```
PmHo2HfAs4
1.0
4.054 0.000 0.000
0.000 7.031 0.137
0.000 -2.443 6.579
Pm Ho Hf As
1 2 1 4
direct
0.500 0.500 0.000
0.500 0.000 0.500
0.000 0.500 0.500
0.000 0.000 0.000
0.500 0.235 0.241
0.500 0.765 0.759
0.000 0.237 0.751
0.000 0.763 0.249
```

Output
Total moment, μB per formula unit: 0.0
DOS(E_F), states/eV per cell: 1.39
Formation energy from the elements, meV per atom: -1375


TbPr2Zn4 after structural relaxation, computed with PBE-GGA.

Structure (POSCAR):
```
TbPr2Zn4
1.0
5.013 0.000 -1.598
-0.509 4.987 -1.598
-0.402 -0.445 7.402
Tb Pr Zn
1 2 4
direct
0.000 0.000 0.000
0.720 0.720 0.439
0.280 0.280 0.561
0.396 0.896 0.792
0.896 0.396 0.792
0.604 0.104 0.208
0.104 0.604 0.208
```

Output
Total moment, μB per formula unit: 0.0
DOS(E_F), states/eV per cell: 5.31
Formation energy from the elements, meV per atom: -151